LuCuPbS3: relaxed, PBE-GGA.

a = 3.8833 Å, b = 13.0592 Å, c = 10.0604 Å
α = 90.00°, β = 90.00°, γ = 90.00°
Space group Cmc2_1 (No. 36)
Unique sites:
1 Lu 0.0000 0.0001 0.0000 x4
2 Cu 0.0000 0.4689 0.2501 x4
3 Pb 0.0000 0.2467 0.7506 x4
4 S 0.0000 0.0751 0.2499 x4
5 S 0.0000 0.3650 0.0631 x4
6 S 0.0000 0.3652 0.4371 x4

Computed properties:
DFT total energy: -125.286 eV/cell

***

LiYMg2S4: relaxed, PBE-GGA.

a = 6.4665 Å, b = 3.8247 Å, c = 6.5200 Å
α = 90.00°, β = 108.46°, γ = 90.00°
Space group P2/m (No. 10)
Unique sites:
1 Li 0.0000 0.0000 0.0000 x1
2 Y 0.5000 0.5000 0.0000 x1
3 Mg 0.0000 0.5000 0.5000 x1
4 Mg 0.5000 0.0000 0.5000 x1
5 S 0.2419 0.0000 0.7436 x2
6 S 0.2539 0.5000 0.2660 x2

Computed properties:
DFT total energy: -41.012 eV/cell

***

PuPa4Os: relaxed, PBE-GGA.

a = 8.5255 Å, b = 8.5255 Å, c = 8.4779 Å
α = 90.00°, β = 90.00°, γ = 90.00°
Space group I4_1md (No. 109)
Unique sites:
1 Pu 0.0000 0.0000 0.0000 x4
2 Pa 0.0000 0.3021 0.0099 x8
3 Pa 0.0000 0.3093 0.4650 x8
4 Os 0.0000 0.0000 0.4966 x4

Computed properties:
ΔH_f (0 K): 4 meV per atom
DFT total energy: -254.083 eV/cell

***

LiNp2Cl8: relaxed, PBE-GGA.

a = 14.0926 Å, b = 7.8706 Å, c = 7.0776 Å
α = 90.00°, β = 114.30°, γ = 90.00°
Space group C2/m (No. 12)
Unique sites:
1 Li 0.0000 0.0000 0.0000 x2
2 Np 0.1277 0.0000 0.5685 x4
3 Cl 0.0266 0.2060 0.7403 x8
4 Cl 0.1912 0.5000 0.1559 x4
5 Cl 0.1961 0.0000 0.2787 x4

Computed properties:
DFT total energy: -119.413 eV/cell

***

Ho2HgC2: relaxed, PBE-GGA.

a = 15.1616 Å, b = 3.8376 Å, c = 6.8060 Å
α = 90.00°, β = 110.07°, γ = 90.00°
Space group C2/c (No. 15)
Unique sites:
1 Ho 0.1533 0.1535 0.1215 x8
2 Hg 0.0000 0.4694 0.7500 x4
3 C 0.2241 0.3764 0.5238 x8

Computed properties:
ΔH_f (0 K): -359 meV per atom
DFT total energy: -118.802 eV/cell

***

YSiTc2: relaxed, PBE-GGA.

a = 3.0887 Å, b = 3.0887 Å, c = 7.1971 Å
α = 90.00°, β = 90.00°, γ = 90.00°
Space group P4mm (No. 99)
Unique sites:
1 Y 0.0000 0.0000 0.0000 x1
2 Si 0.5000 0.5000 0.3004 x1
3 Tc 0.0000 0.0000 0.4881 x1
4 Tc 0.5000 0.5000 0.6963 x1

Computed properties:
DFT total energy: -33.401 eV/cell

***

NdHo2Pd: relaxed, PBE-GGA.

a = 3.8749 Å, b = 3.8749 Å, c = 27.5257 Å
α = 90.00°, β = 90.00°, γ = 120.00°
Space group R3m (No. 160, hexagonal axes)
Unique sites:
1 Nd 0.0000 0.0000 0.0000 x3
2 Ho 0.0000 0.0000 0.2303 x3
3 Ho 0.0000 0.0000 0.4403 x3
4 Pd 0.0000 0.0000 0.8358 x3

Computed properties:
ΔH_f (0 K): -321 meV per atom
DFT total energy: -61.203 eV/cell

***

BiMoPd2Ru: relaxed, PBE-GGA.

a = 4.8985 Å, b = 4.8985 Å, c = 4.6109 Å
α = 90.00°, β = 90.00°, γ = 90.00°
Space group P4/mmm (No. 123)
Unique sites:
1 Bi 0.0000 0.0000 0.0000 x1
2 Mo 0.5000 0.5000 0.5000 x1
3 Pd 0.0000 0.5000 0.5000 x2
4 Ru 0.5000 0.5000 0.0000 x1

Computed properties:
ΔH_f (0 K): 957 meV per atom
DFT total energy: -29.590 eV/cell

***

RbOsO6: relaxed, PBE-GGA.

a = 9.5601 Å, b = 9.5601 Å, c = 9.5601 Å
α = 90.00°, β = 90.00°, γ = 90.00°
Space group Fm-3m (No. 225)
Unique sites:
1 Rb 0.0000 0.0000 0.0000 x4
2 Os 0.0000 0.0000 0.5000 x4
3 O 0.0000 0.0000 0.3070 x24

Computed properties:
DFT total energy: -181.900 eV/cell

***

MgPaTl2: relaxed, PBE-GGA.

a = 4.7933 Å, b = 4.7933 Å, c = 4.4849 Å
α = 90.00°, β = 90.00°, γ = 90.00°
Space group P4/mmm (No. 123)
Unique sites:
1 Mg 0.0000 0.0000 0.0000 x1
2 Pa 0.5000 0.5000 0.0000 x1
3 Tl 0.0000 0.5000 0.5000 x2

Computed properties:
ΔH_f (0 K): 114 meV per atom
DFT total energy: -15.368 eV/cell

***

Pm3NdDyTh: relaxed, PBE-GGA.

a = 8.1145 Å, b = 5.1296 Å, c = 10.2620 Å
α = 90.00°, β = 108.51°, γ = 90.00°
Space group P2_1/m (No. 11)
Unique sites:
1 Pm 0.1724 0.2500 0.0443 x2
2 Pm 0.1788 0.2500 0.5444 x2
3 Pm 0.1792 0.7500 0.2949 x2
4 Nd 0.1707 0.7500 0.7921 x2
5 Dy 0.4997 0.2500 0.8719 x2
6 Th 0.4996 0.2500 0.3781 x2

Computed properties:
ΔH_f (0 K): 30 meV per atom
DFT total energy: -61.718 eV/cell

***

What did the fourth record say?
LiNp2Cl8: relaxed, PBE-GGA.

a = 14.0926 Å, b = 7.8706 Å, c = 7.0776 Å
α = 90.00°, β = 114.30°, γ = 90.00°
Space group C2/m (No. 12)
Unique sites:
1 Li 0.0000 0.0000 0.0000 x2
2 Np 0.1277 0.0000 0.5685 x4
3 Cl 0.0266 0.2060 0.7403 x8
4 Cl 0.1912 0.5000 0.1559 x4
5 Cl 0.1961 0.0000 0.2787 x4

Computed properties:
DFT total energy: -119.413 eV/cell

***

What is the DFT total energy in the ninth record?
-181.900 eV/cell

***

Which value of DFT total energy does entry 9 give?
-181.900 eV/cell